WAu3, relaxed, DFT PBE; total moment = 5.2 Bohr magnetons per cell; calculated total energy = -4.98 eV per atom
1.0
-0.531 2.496 4.602
-1.936 -4.391 2.158
4.864 -1.475 1.361
W Au
2 6
Direct
0.000 0.000 0.000
0.500 0.500 0.500
0.000 0.250 0.500
0.000 0.750 0.500
0.250 0.500 0.000
0.500 0.000 0.250
0.500 0.000 0.750
0.750 0.500 0.000